[1]
RbCdI2 after structural relaxation. Source: Alexandria via LeMat-Bulk, functional PBE.

a = 6.044 Å, b = 6.044 Å, c = 6.044 Å
α = 60.00°, β = 60.00°, γ = 60.00°
Positions (direct):
I (0.250, 0.250, 0.250)
I (0.750, 0.750, 0.750)
Cd (0.500, 0.500, 0.500)
Rb (0.000, 0.000, 0.000)

Summary:
As for the uncorrected formation energy: -63 kJ per mole of atoms. For the total magnetic moment, the calculation gives 0.0000 μB per atom. The relative energy among the computed polymorphs comes out at 103.8 meV/atom. The density of states at the Fermi level is 5.80 states/eV/cell.


[2]
RbCdI3 after structural relaxation. Source: Alexandria via LeMat-Bulk, functional PBE.

a = 7.602 Å, b = 8.121 Å, c = 8.996 Å
α = 116.83°, β = 90.00°, γ = 90.00°
Positions (direct):
I (0.956, 0.306, 0.104)
I (0.956, 0.798, 0.104)
I (0.493, 0.701, 0.402)
I (0.456, 0.694, 0.896)
I (0.456, 0.202, 0.896)
I (0.993, 0.299, 0.598)
Rb (0.361, 0.147, 0.295)
Rb (0.861, 0.853, 0.705)
Cd (0.164, 0.455, 0.910)
Cd (0.664, 0.545, 0.090)

Summary:
As for the uncorrected formation energy: -89 kJ per mole of atoms. For the total magnetic moment, the calculation gives 0.0000 μB per atom. The density of states at the Fermi level is 0.00 states/eV/cell.


[3]
RbCdI after structural relaxation. Source: Alexandria via LeMat-Bulk, functional PBE.

a = 7.764 Å, b = 5.528 Å, c = 13.193 Å
α = 90.00°, β = 105.81°, γ = 90.00°
Positions (direct):
Rb (0.591, 0.500, 0.658)
Rb (0.591, 0.000, 0.158)
Rb (0.975, 0.000, 0.500)
Rb (0.975, 0.500, 0.000)
Cd (0.237, 0.500, 0.388)
Cd (0.428, 0.000, 0.448)
Cd (0.428, 0.500, 0.948)
Cd (0.237, 0.000, 0.888)
I (0.106, 0.000, 0.193)
I (0.696, 0.500, 0.348)
I (0.106, 0.500, 0.693)
I (0.696, 0.000, 0.848)

Summary:
As for the uncorrected formation energy: -71 kJ per mole of atoms. For the total magnetic moment, the calculation gives 0.0000 μB per atom. The relative energy among the computed polymorphs comes out at 50.9 meV/atom.


[4]
RbCdI3 after structural relaxation. Source: Alexandria via LeMat-Bulk, functional PBE.

a = 6.010 Å, b = 6.010 Å, c = 6.010 Å
α = 90.00°, β = 90.00°, γ = 90.00°
Positions (direct):
Rb (0.500, 0.500, 0.500)
I (0.000, 0.500, 0.000)
I (0.000, 0.000, 0.500)
I (0.500, 0.000, 0.000)
Cd (0.000, 0.000, 0.000)

Summary:
As for the uncorrected formation energy: -84 kJ per mole of atoms. For the total magnetic moment, the calculation gives 0.0000 μB per atom. The density of states at the Fermi level is 0.71 states/eV/cell.


[5]
RbCdI3 after structural relaxation. Source: Alexandria via LeMat-Bulk, functional PBE.

a = 6.979 Å, b = 6.979 Å, c = 6.979 Å
α = 90.00°, β = 90.00°, γ = 90.00°
Positions (direct):
I (0.500, 0.000, 0.000)
I (0.000, 0.000, 0.500)
I (0.000, 0.500, 0.000)
Rb (0.000, 0.000, 0.000)
Cd (0.500, 0.500, 0.500)

Summary:
As for the uncorrected formation energy: -7 kJ per mole of atoms. For the total magnetic moment, the calculation gives 0.3999 μB per atom. The density of states at the Fermi level is 9.77 states/eV/cell.


[6]
RbCdI after structural relaxation. Source: Alexandria via LeMat-Bulk, functional PBE.

a = 5.176 Å, b = 5.177 Å, c = 12.039 Å
α = 89.90°, β = 77.62°, γ = 60.05°
Positions (direct):
I (0.623, 0.792, 0.061)
I (0.701, 0.250, 0.446)
Rb (0.411, 0.399, 0.879)
Rb (0.154, 0.526, 0.266)
Cd (0.225, 0.992, 0.655)
Cd (0.889, 0.660, 0.659)

Summary:
As for the uncorrected formation energy: -75 kJ per mole of atoms. For the total magnetic moment, the calculation gives 0.0000 μB per atom. The relative energy among the computed polymorphs comes out at 8.7 meV/atom. The density of states at the Fermi level is 1.29 states/eV/cell.


[7]
RbCdI after structural relaxation. Source: Alexandria via LeMat-Bulk, functional PBE.

a = 4.474 Å, b = 4.474 Å, c = 12.404 Å
α = 92.60°, β = 92.27°, γ = 90.04°
Positions (direct):
Rb (0.603, 0.878, 0.731)
Rb (0.657, 0.921, 0.091)
Cd (0.697, 0.468, 0.345)
Cd (0.198, 0.967, 0.345)
I (0.086, 0.359, 0.582)
I (0.140, 0.402, 0.939)

Summary:
As for the uncorrected formation energy: -76 kJ per mole of atoms. For the total magnetic moment, the calculation gives 0.0000 μB per atom. The relative energy among the computed polymorphs comes out at 1.6 meV/atom. The density of states at the Fermi level is 0.48 states/eV/cell.


[8]
Rb2CdI4 after structural relaxation. Source: Alexandria via LeMat-Bulk, functional PBE.

a = 8.453 Å, b = 8.440 Å, c = 10.236 Å
α = 90.00°, β = 107.95°, γ = 90.00°
Positions (direct):
I (0.500, 0.007, 0.257)
I (0.500, 0.507, 0.743)
I (0.081, 0.750, 0.379)
I (0.914, 0.250, 0.084)
I (0.919, 0.250, 0.621)
I (0.500, 0.493, 0.257)
I (0.086, 0.750, 0.916)
I (0.500, 0.993, 0.743)
Cd (0.728, 0.250, 0.804)
Cd (0.272, 0.750, 0.196)
Rb (0.274, 0.250, 0.943)
Rb (0.754, 0.750, 0.563)
Rb (0.246, 0.250, 0.437)
Rb (0.726, 0.750, 0.057)

Summary:
As for the uncorrected formation energy: -109 kJ per mole of atoms. For the total magnetic moment, the calculation gives 0.0000 μB per atom. The relative energy among the computed polymorphs comes out at 0.0 meV/atom. The density of states at the Fermi level is 0.00 states/eV/cell.


[9]
Rb2CdI2 after structural relaxation. Source: Alexandria via LeMat-Bulk, functional PBE.

a = 10.186 Å, b = 10.186 Å, c = 4.632 Å
α = 90.00°, β = 90.00°, γ = 90.00°
Positions (direct):
Rb (0.644, 0.144, 0.000)
Rb (0.356, 0.856, 0.000)
Rb (0.144, 0.356, 0.000)
Rb (0.856, 0.644, 0.000)
Cd (0.000, 0.000, 0.000)
Cd (0.500, 0.500, 0.000)
I (0.345, 0.155, 0.500)
I (0.655, 0.845, 0.500)
I (0.155, 0.655, 0.500)
I (0.845, 0.345, 0.500)

Summary:
As for the uncorrected formation energy: -98 kJ per mole of atoms. For the total magnetic moment, the calculation gives 0.0000 μB per atom. The relative energy among the computed polymorphs comes out at 0.0 meV/atom. The density of states at the Fermi level is 0.00 states/eV/cell.


[10]
Rb2CdI2 after structural relaxation. Source: Alexandria via LeMat-Bulk, functional PBE.

a = 7.010 Å, b = 7.010 Å, c = 8.430 Å
α = 65.43°, β = 65.43°, γ = 90.00°
Positions (direct):
I (0.312, 0.312, 0.375)
I (0.688, 0.688, 0.625)
Rb (0.750, 0.250, 0.500)
Rb (0.250, 0.750, 0.500)
Cd (0.000, 0.000, 0.000)

Summary:
As for the uncorrected formation energy: -92 kJ per mole of atoms. For the total magnetic moment, the calculation gives 0.0000 μB per atom. The relative energy among the computed polymorphs comes out at 58.0 meV/atom. The density of states at the Fermi level is 0.00 states/eV/cell.


[11]
Rb2CdI5 after structural relaxation. Source: Alexandria via LeMat-Bulk, functional PBE.

a = 6.819 Å, b = 9.766 Å, c = 13.763 Å
α = 90.00°, β = 90.00°, γ = 110.43°
Positions (direct):
Rb (0.836, 0.672, 0.095)
Rb (0.164, 0.328, 0.595)
Rb (0.164, 0.328, 0.905)
Rb (0.836, 0.672, 0.405)
I (0.969, 0.937, 0.623)
I (0.284, 0.568, 0.102)
I (0.969, 0.937, 0.877)
I (0.031, 0.063, 0.123)
I (0.673, 0.346, 0.250)
I (0.327, 0.654, 0.750)
I (0.716, 0.432, 0.898)
I (0.284, 0.568, 0.398)
I (0.716, 0.432, 0.602)
I (0.031, 0.063, 0.377)
Cd (0.173, 0.347, 0.250)
Cd (0.827, 0.653, 0.750)

Summary:
As for the uncorrected formation energy: -81 kJ per mole of atoms. For the total magnetic moment, the calculation gives 0.0015 μB per atom. The density of states at the Fermi level is 6.96 states/eV/cell.


[12]
Rb2Cd2I after structural relaxation. Source: Alexandria via LeMat-Bulk, functional PBE.

a = 9.759 Å, b = 9.759 Å, c = 4.798 Å
α = 90.00°, β = 90.00°, γ = 90.00°
Positions (direct):
Rb (0.192, 0.692, 0.500)
Rb (0.308, 0.192, 0.500)
Rb (0.808, 0.308, 0.500)
Rb (0.692, 0.808, 0.500)
I (0.000, 0.000, 0.000)
I (0.500, 0.500, 0.000)
Cd (0.892, 0.608, 0.000)
Cd (0.608, 0.108, 0.000)
Cd (0.392, 0.892, 0.000)
Cd (0.108, 0.392, 0.000)

Summary:
As for the uncorrected formation energy: -36 kJ per mole of atoms. For the total magnetic moment, the calculation gives 0.0000 μB per atom. The relative energy among the computed polymorphs comes out at 0.0 meV/atom. The density of states at the Fermi level is 7.20 states/eV/cell.


- The highest total magnetic moment belongs to which entry?
  number 5


- What is the formula in the tenth record?
  Rb2CdI2


Please write out number 10 again, unchanged.
Rb2CdI2 after structural relaxation. Source: Alexandria via LeMat-Bulk, functional PBE.

a = 7.010 Å, b = 7.010 Å, c = 8.430 Å
α = 65.43°, β = 65.43°, γ = 90.00°
Positions (direct):
I (0.312, 0.312, 0.375)
I (0.688, 0.688, 0.625)
Rb (0.750, 0.250, 0.500)
Rb (0.250, 0.750, 0.500)
Cd (0.000, 0.000, 0.000)

Summary:
As for the uncorrected formation energy: -92 kJ per mole of atoms. For the total magnetic moment, the calculation gives 0.0000 μB per atom. The relative energy among the computed polymorphs comes out at 58.0 meV/atom. The density of states at the Fermi level is 0.00 states/eV/cell.